1.
Density functional theory data (PBE-GGA) for crystalline Tb2Ga2Si at its relaxed geometry.

a = 5.8170 Å, b = 5.8170 Å, c = 10.8361 Å
α = 114.69°, β = 114.69°, γ = 41.33°
Last column: nearest neighbours and their distance in Å.
Fractional positions:
Tb (0.0989, 0.0989, 0.4011)  6 Ga 2.98-3.20, 2 Si 3.01
Tb (0.2943, 0.2943, 0.8561)  4 Si 3.06-3.25, 7 Ga 3.13-3.19
Tb (0.7057, 0.7057, 0.1439)  4 Si 3.06-3.25, 7 Ga 3.13-3.19
Tb (0.9011, 0.9011, 0.5989)  6 Ga 2.98-3.20, 2 Si 3.01
Ga (0.0289, 0.0289, 0.9057)  1 Ga 2.39, 2 Si 2.43
Ga (0.3665, 0.3665, 0.3839)  1 Si 2.49
Ga (0.6335, 0.6335, 0.6161)  1 Si 2.49
Ga (0.9711, 0.9711, 0.0943)  1 Ga 2.39, 2 Si 2.43
Si (0.4302, 0.4302, 0.1899)  3 Ga 2.43-2.49
Si (0.5698, 0.5698, 0.8101)  3 Ga 2.43-2.49

The value obtained for the mass density is 7.4 g/cm³. The calculation puts the energy relative to the elements, uncorrected at -0.663 eV/atom. The spin magnetization comes out at 0.00 Bohr magnetons per cell.

=====

2.
Density functional theory data (PBE-GGA) for crystalline Li2CaHoAu2 at its relaxed geometry.

a = 4.4902 Å, b = 4.4902 Å, c = 7.5702 Å
α = 90.00°, β = 90.00°, γ = 120.00°
Last column: nearest neighbours and their distance in Å.
Fractional positions:
Li (0.3333, 0.6667, 0.2544)  3 Au 2.60
Li (0.6667, 0.3333, 0.7456)  3 Au 2.60
Ca (0.0000, 0.0000, 0.0000)  6 Li 3.23, 6 Au 3.34
Ho (0.0000, 0.0000, 0.5000)  6 Au 3.09, 6 Li 3.19
Au (0.3333, 0.6667, 0.7219)  3 Li 2.60
Au (0.6667, 0.3333, 0.2781)  3 Li 2.60

The value obtained for the mass density is 7.7 g/cm³. For the energy of formation, the calculation gives -0.54 eV/atom. The spin magnetization comes out at 0.00 Bohr magnetons per cell.